Computed, not measured: a relaxed CsLaRu2O8 crystal at the PBE level of DFT.

* volume: 253 Å³ per cell
* formation energy without anion corrections: -1.496 eV/atom
* space group: R-3

Structure (extended XYZ):
```
12
Lattice="2.9085 1.6792 8.6375 -2.9085 1.6792 8.6375 0.0000 -3.3584 8.6375" Properties=species:S:1:pos:R:3 pbc="T T T"
Cs 0.0000 0.0000 0.0000
La 0.0000 0.0000 12.9563
Ru 0.0000 0.0000 6.3571
Ru 0.0000 0.0000 19.5555
O -1.9291 -0.2914 11.5360
O -0.7122 -1.8163 14.3765
O 0.0000 0.0000 8.1132
O -1.2169 1.5249 14.3765
O 1.2169 -1.5249 11.5360
O 0.0000 0.0000 17.7993
O 0.7122 1.8163 11.5360
O 1.9291 0.2914 14.3765
```